[1]
DFT (PBE) results for an optimized crystal structure of Tb8Sm2Tm.

Energy of formation ... 0.163 eV/atom
Magnetization ... 0.00 μB/cell
Density of states at the Fermi level ... 1.481 states/eV per atom
Total energy ... -4.47 eV per atom
Theoretical density ... 8.01 g/cm3

Unit cell a=16.5014 b=6.6738 c=6.6699 alpha=90.00 beta=100.56 gamma=90.00
With the nearest neighbours (Å) after each atom.
Space group C2/m (No. 12)
Unique sites:
Tb1 0.0875 0.2375 0.4028 (multiplicity 8)  5 Tb 3.17-3.50, 1 Tm 3.31, 1 Sm 3.40
Tb2 0.0892 0.0000 0.9085 (multiplicity 4)  8 Tb 3.34-3.72, 1 Sm 3.70
Tb3 0.2437 0.5000 0.3082 (multiplicity 4)  5 Tb 3.27-3.47, 4 Sm 3.34-3.58
Sm1 0.1978 0.5000 0.7987 (multiplicity 4)  7 Tb 3.34-3.70
Tm1 0.0000 0.5000 0.0000 (multiplicity 2)  4 Tb 3.31



[2]
DFT (PBE) results for an optimized crystal structure of LaY2UO8.

Magnetization ... 0.88 μB/cell
Density of states at the Fermi level ... 0.316 states/eV per atom
Total energy ... -8.99 eV per atom
Formation energy without anion corrections ... -3.25 eV per atom
Theoretical density ... 6.97 g/cm3

Unit cell a=3.9282 b=5.3620 c=7.7251 alpha=90.00 beta=90.00 gamma=90.00
With the nearest neighbours (Å) after each atom.
Space group Pmmm (No. 47)
Unique sites:
La1 0.0000 0.0000 0.0000 (multiplicity 1)  8 O 2.46-2.52
Y1 0.5000 0.5000 0.2636 (multiplicity 2)  8 O 2.33-2.40
U1 0.0000 0.0000 0.5000 (multiplicity 1)  8 O 2.14-2.32
O1 0.0000 0.2431 0.2797 (multiplicity 4)  1 U 2.14
O2 0.5000 0.2311 0.5000 (multiplicity 2)  2 U 2.32, 2 Y 2.33, 5 O 2.48-2.60
O3 0.5000 0.2749 0.0000 (multiplicity 2)  2 Y 2.37, 1 O 2.41, 2 La 2.46



[3]
DFT (PBE) results for an optimized crystal structure of NbAl2Ni8.

Energy of formation ... -0.214 eV/atom
Magnetization ... 0.00 μB/cell
Density of states at the Fermi level ... 0.996 states/eV per atom
Total energy ... -6.01 eV per atom
Theoretical density ... 7.58 g/cm3

Unit cell a=6.6032 b=12.4961 c=4.3306 alpha=90.00 beta=130.94 gamma=90.00
With the nearest neighbours (Å) after each atom.
Space group C2/m (No. 12)
Unique sites:
Nb1 0.0000 0.0000 0.0000 (multiplicity 2)  6 Ni 2.48-2.74
Al1 0.0000 0.3153 0.5000 (multiplicity 4)  12 Ni 2.50-2.63
Ni1 0.0000 0.1985 0.0000 (multiplicity 4)  1 Nb 2.48, 6 Ni 2.50-2.61, 4 Al 2.50-2.61
Ni2 0.0061 0.5000 0.7542 (multiplicity 4)  6 Ni 2.15-2.39
Ni3 0.2353 0.1320 0.7323 (multiplicity 8)  6 Ni 2.35-2.61, 2 Al 2.57-2.61



[4]
DFT (PBE) results for an optimized crystal structure of SrAlOs.

Energy of formation ... 0.159 eV/atom
Magnetization ... 0.05 μB/cell
Density of states at the Fermi level ... 0.736 states/eV per atom
Total energy ... -5.39 eV per atom
Theoretical density ... 7.06 g/cm3

Unit cell a=4.2976 b=4.2976 c=4.4814 alpha=90.00 beta=90.00 gamma=120.00
With the nearest neighbours (Å) after each atom.
Space group P-6m2 (No. 187)
Unique sites:
Sr1 0.0000 0.0000 0.0000 (multiplicity 1)  6 Al 3.34, 6 Os 3.34
Al1 0.6667 0.3333 0.5000 (multiplicity 1)  3 Os 2.48
Os1 0.3333 0.6667 0.5000 (multiplicity 1)  3 Al 2.48



[5]
DFT (PBE) results for an optimized crystal structure of NaLiV2.

Energy of formation ... 1.307 eV/atom
Magnetization ... 0.00 μB/cell
Density of states at the Fermi level ... 0.823 states/eV per atom
Total energy ... -4.06 eV per atom
Theoretical density ... 3.44 g/cm3

Unit cell a=6.3400 b=6.3400 c=6.3400 alpha=90.00 beta=90.00 gamma=90.00
With the nearest neighbours (Å) after each atom.
Space group Fm-3m (No. 225)
Unique sites:
Na1 0.0000 0.0000 0.0000 (multiplicity 4)  8 V 2.75
Li1 0.0000 0.0000 0.5000 (multiplicity 4)  8 V 2.75
V1 0.2500 0.2500 0.2500 (multiplicity 8)  4 Li 2.75, 4 Na 2.75



[6]
DFT (PBE) results for an optimized crystal structure of CrNi2Ru.

Energy of formation ... 0.031 eV/atom
Magnetization ... 0.47 μB/cell
Density of states at the Fermi level ... 1.458 states/eV per atom
Total energy ... -7.58 eV per atom
Theoretical density ... 9.46 g/cm3

Unit cell a=3.6448 b=3.6448 c=7.1435 alpha=90.00 beta=90.00 gamma=90.00
With the nearest neighbours (Å) after each atom.
Space group I-4m2 (No. 119)
Unique sites:
Cr1 0.0000 0.0000 0.0000 (multiplicity 2)  8 Ni 2.55-2.58, 4 Ru 2.55
Ni1 0.0000 0.0000 0.5000 (multiplicity 2)  4 Ru 2.55, 4 Ni 2.55, 4 Cr 2.58
Ni2 0.0000 0.5000 0.2500 (multiplicity 2)  4 Cr 2.55, 4 Ni 2.55, 4 Ru 2.58
Ru1 0.0000 0.5000 0.7500 (multiplicity 2)  4 Cr 2.55, 8 Ni 2.55-2.58



Number 1: calculated volume 32.82 Å³ per atom. Number 2: calculated volume 13.56 Å³ per atom. Number 3: calculated volume 12.27 Å³ per atom. Number 4: calculated volume 23.89 Å³ per atom. Number 5: calculated volume 15.93 Å³ per atom. Number 6: calculated volume 11.86 Å³ per atom.